Entry 1:
Density functional theory data (GGA-PBE) for a relaxed structure of CrRhAu2. Values from VASP.

```
&SYSTEM
  ibrav = 0, nat = 4, ntyp = 3
/
ATOMIC_SPECIES
Cr 52.00 Cr.upf
Rh 102.91 Rh.upf
Au 196.97 Au.upf
ATOMIC_POSITIONS crystal
Cr 0.000 0.000 0.000
Rh 0.249 0.749 0.500
Au 0.499 0.499 0.000
Au 0.750 0.250 0.500
CELL_PARAMETERS angstrom
-2.005 2.014 3.966
2.005 -2.014 3.966
2.005 2.014 -3.966
```

Computed properties:
Size of the total moment = 0.723 μB per atom
SG = Imm2, No. 44
Calculated volume = 16.02 Å³ per atom
Formation energy from the elements = 0.0794 eV per atom

=====

Entry 2:
Density functional theory data (GGA-PBE) for a relaxed structure of ZrInCu. Values from VASP.

```
&SYSTEM
  ibrav = 0, nat = 6, ntyp = 3
/
ATOMIC_SPECIES
Zr 91.22 Zr.upf
In 114.82 In.upf
Cu 63.55 Cu.upf
ATOMIC_POSITIONS crystal
Zr 0.375 0.125 0.250
Zr 0.625 0.875 0.750
In 0.000 0.500 0.500
In 0.500 0.500 0.000
Cu 0.000 0.000 0.500
Cu 0.000 0.500 0.000
CELL_PARAMETERS angstrom
-2.640 2.846 3.771
2.640 -2.846 3.771
2.640 2.846 -3.771
```

Computed properties:
Size of the total moment = 0.232 μB per atom
SG = Imma, No. 74
Calculated volume = 18.89 Å³ per atom
Formation energy from the elements = -0.1411 eV per atom

=====

Entry 3:
Density functional theory data (GGA-PBE) for a relaxed structure of TiAgNF2. Values from VASP.

```
&SYSTEM
  ibrav = 0, nat = 5, ntyp = 4
/
ATOMIC_SPECIES
Ti 47.87 Ti.upf
Ag 107.87 Ag.upf
N 14.01 N.upf
F 19.00 F.upf
ATOMIC_POSITIONS crystal
Ti 0.000 0.000 0.000
Ag 0.500 0.500 0.500
N 0.500 0.500 0.000
F 0.000 0.500 0.500
F 0.500 0.000 0.500
CELL_PARAMETERS angstrom
4.266 0.000 0.000
0.000 4.266 0.000
0.000 0.000 4.087
```

Computed properties:
Size of the total moment = 0.225 μB per atom
SG = P4/mmm, No. 123
Polymorph energy (0 for the lowest one) = 1523.6 meV per atom
Calculated volume = 14.88 Å³ per atom
Energy relative to the elements, uncorrected = 33 meV per atom

=====

Entry 4:
Density functional theory data (GGA-PBE) for a relaxed structure of La3Y5Se8. Values from VASP.

```
&SYSTEM
  ibrav = 0, nat = 16, ntyp = 3
/
ATOMIC_SPECIES
La 138.91 La.upf
Y 88.91 Y.upf
Se 78.96 Se.upf
ATOMIC_POSITIONS crystal
La 0.000 0.500 0.500
La 0.500 0.000 0.500
La 0.500 0.500 0.000
Y 0.000 0.000 0.000
Y 0.000 0.000 0.500
Y 0.000 0.500 0.000
Y 0.500 0.000 0.000
Y 0.500 0.500 0.500
Se 0.238 0.750 0.750
Se 0.244 0.244 0.244
Se 0.250 0.250 0.762
Se 0.250 0.762 0.250
Se 0.750 0.238 0.750
Se 0.750 0.750 0.238
Se 0.756 0.756 0.756
Se 0.762 0.250 0.250
CELL_PARAMETERS angstrom
4.160 2.402 6.863
-4.160 2.402 6.863
0.000 -4.804 6.863
```

Computed properties:
Size of the total moment = 0.000 μB per atom
SG = R-3m, No. 166
Calculated volume = 25.71 Å³ per atom
Energy relative to the elements, uncorrected = -1849 meV per atom

=====

Entry 5:
Density functional theory data (GGA-PBE) for a relaxed structure of Li2Y3ErS6. Values from VASP.

```
&SYSTEM
  ibrav = 0, nat = 12, ntyp = 4
/
ATOMIC_SPECIES
Li 6.94 Li.upf
Y 88.91 Y.upf
Er 167.26 Er.upf
S 32.06 S.upf
ATOMIC_POSITIONS crystal
Li 0.167 0.833 0.000
Li 0.833 0.167 0.000
Y 0.000 0.000 0.500
Y 0.332 0.668 0.500
Y 0.668 0.332 0.500
Er 0.500 0.500 0.000
S 0.084 0.419 0.759
S 0.246 0.246 0.243
S 0.419 0.084 0.759
S 0.581 0.916 0.241
S 0.754 0.754 0.757
S 0.916 0.581 0.241
CELL_PARAMETERS angstrom
3.349 -5.801 0.000
3.349 5.801 0.000
-2.230 0.000 6.306
```

Computed properties:
Size of the total moment = 0.000 μB per atom
SG = C2/m, No. 12
Calculated volume = 20.42 Å³ per atom
Energy relative to the elements, uncorrected = -1911 meV per atom

=====

Entry 6:
Density functional theory data (GGA-PBE) for a relaxed structure of Y2BTeAu. Values from VASP.

```
&SYSTEM
  ibrav = 0, nat = 5, ntyp = 4
/
ATOMIC_SPECIES
Y 88.91 Y.upf
B 10.81 B.upf
Te 127.60 Te.upf
Au 196.97 Au.upf
ATOMIC_POSITIONS crystal
Y 0.000 0.500 0.000
Y 0.500 0.000 0.000
B 0.000 0.000 0.000
Te 0.000 0.000 0.500
Au 0.500 0.500 0.500
CELL_PARAMETERS angstrom
5.084 0.000 0.000
0.000 5.084 0.000
0.000 0.000 4.510
```

Computed properties:
Size of the total moment = 0.000 μB per atom
SG = P4/mmm, No. 123
Calculated volume = 23.31 Å³ per atom
Energy relative to the elements, uncorrected = -206 meV per atom

=====

Entry 7:
Density functional theory data (GGA-PBE) for a relaxed structure of Cs3Tl3PbBr8. Values from VASP.

```
&SYSTEM
  ibrav = 0, nat = 15, ntyp = 4
/
ATOMIC_SPECIES
Cs 132.91 Cs.upf
Tl 204.38 Tl.upf
Pb 207.20 Pb.upf
Br 79.90 Br.upf
ATOMIC_POSITIONS crystal
Cs 0.000 0.500 0.500
Cs 0.500 0.000 0.500
Cs 0.500 0.500 0.000
Tl 0.000 0.000 0.500
Tl 0.000 0.500 0.000
Tl 0.500 0.000 0.000
Pb 0.500 0.500 0.500
Br 0.243 0.243 0.243
Br 0.269 0.719 0.719
Br 0.281 0.281 0.731
Br 0.281 0.731 0.281
Br 0.719 0.269 0.719
Br 0.719 0.719 0.269
Br 0.731 0.281 0.281
Br 0.757 0.757 0.757
CELL_PARAMETERS angstrom
4.887 2.821 8.351
-4.887 2.821 8.351
0.000 -5.643 8.351
```

Computed properties:
Size of the total moment = 0.000 μB per atom
SG = R-3m, No. 166
Calculated volume = 46.06 Å³ per atom
Energy relative to the elements, uncorrected = -1250 meV per atom

=====

Entry 8:
Density functional theory data (GGA-PBE) for a relaxed structure of YSe4. Values from VASP.

```
&SYSTEM
  ibrav = 0, nat = 5, ntyp = 2
/
ATOMIC_SPECIES
Y 88.91 Y.upf
Se 78.96 Se.upf
ATOMIC_POSITIONS crystal
Y 0.000 0.000 0.000
Se 0.000 0.000 0.500
Se 0.000 0.500 0.000
Se 0.500 0.000 0.000
Se 0.500 0.500 0.500
CELL_PARAMETERS angstrom
-3.268 3.268 3.268
3.268 -3.268 3.268
3.268 3.268 -3.268
```

Computed properties:
Size of the total moment = 0.001 μB per atom
SG = Im-3m, No. 229
Polymorph energy (0 for the lowest one) = 202.8 meV per atom
Calculated volume = 27.93 Å³ per atom
Energy relative to the elements, uncorrected = -439 meV per atom